No. 1
Here is Ca12H5Au3 after structural relaxation from Alexandria. Energies are from PBE.

Cell lengths 13.7162, 13.7162, 13.7162 Å; angles 109.47, 109.47, 109.47 degrees
Closest atoms and distances in Å follow each position.
Element x y z (fractional)
Au  0.7500  0.3750  0.1250  8 Ca 3.08-3.14
Au  0.8750  0.7500  0.1250  8 Ca 3.08-3.14
Au  0.3750  0.7500  0.6250  8 Ca 3.08-3.14
Au  0.2500  0.1250  0.3750  8 Ca 3.08-3.14
Au  0.8750  0.1250  0.2500  8 Ca 3.08-3.14
Au  0.3750  0.6250  0.2500  8 Ca 3.08-3.14
Au  0.6250  0.3750  0.7500  8 Ca 3.08-3.14
Au  0.1250  0.8750  0.7500  8 Ca 3.08-3.14
Au  0.7500  0.8750  0.6250  8 Ca 3.08-3.14
Au  0.6250  0.2500  0.3750  8 Ca 3.08-3.14
Au  0.1250  0.2500  0.8750  8 Ca 3.08-3.14
Au  0.2500  0.6250  0.8750  8 Ca 3.08-3.14
H  0.1250  0.3750  0.2500  4 Ca 2.27
H  0.0000  0.5000  0.0000  6 Ca 2.66
H  0.0000  0.0000  0.0000  6 Ca 2.66
H  0.3750  0.2500  0.1250  4 Ca 2.27
H  0.5000  0.0000  0.5000  6 Ca 2.66
H  0.5000  0.5000  0.0000  6 Ca 2.66
H  0.1250  0.7500  0.3750  4 Ca 2.27
H  0.7500  0.1250  0.8750  4 Ca 2.27
H  0.7500  0.6250  0.3750  4 Ca 2.27
H  0.3750  0.1250  0.7500  4 Ca 2.27
H  0.6250  0.8750  0.2500  4 Ca 2.27
H  0.5000  0.5000  0.5000  6 Ca 2.66
H  0.5000  0.0000  0.0000  6 Ca 2.66
H  0.0000  0.0000  0.5000  6 Ca 2.66
H  0.2500  0.3750  0.6250  4 Ca 2.27
H  0.2500  0.8750  0.1250  4 Ca 2.27
H  0.0000  0.5000  0.5000  6 Ca 2.66
H  0.8750  0.2500  0.6250  4 Ca 2.27
H  0.6250  0.7500  0.8750  4 Ca 2.27
H  0.8750  0.6250  0.7500  4 Ca 2.27
Ca  0.7112  0.1202  0.0225  1 H 2.27
Ca  0.3113  0.5225  0.4023  1 H 2.27
Ca  0.9775  0.3798  0.2888  1 H 2.27
Ca  0.5225  0.2112  0.1202  1 H 2.27
Ca  0.5910  0.7112  0.6887  1 H 2.27
Ca  0.9775  0.5977  0.1887  1 H 2.27
Ca  0.3113  0.7888  0.4090  1 H 2.27
Ca  0.0977  0.9090  0.1202  1 H 2.27
Ca  0.5977  0.9775  0.6887  1 H 2.27
Ca  0.7112  0.5910  0.1887  1 H 2.27
Ca  0.7888  0.4775  0.3798  1 H 2.27
Ca  0.8113  0.9023  0.0225  1 H 2.27
Ca  0.1202  0.7112  0.5225  1 H 2.27
Ca  0.3798  0.4023  0.0910  1 H 2.27
Ca  0.0910  0.9023  0.3798  1 H 2.27
Ca  0.4090  0.1202  0.5977  1 H 2.27
Ca  0.0910  0.1887  0.2112  1 H 2.27
Ca  0.4775  0.6887  0.0977  1 H 2.27
Ca  0.8113  0.9090  0.2888  1 H 2.27
Ca  0.1202  0.4090  0.0977  1 H 2.27
Ca  0.3798  0.9775  0.7888  1 H 2.27
Ca  0.5977  0.6202  0.4090  1 H 2.27
Ca  0.9023  0.8113  0.5225  1 H 2.27
Ca  0.7888  0.3113  0.9090  1 H 2.27
Ca  0.4023  0.3798  0.5910  1 H 2.27
Ca  0.0977  0.1887  0.4775  1 H 2.27
Ca  0.2112  0.6887  0.0910  1 H 2.27
Ca  0.1887  0.0910  0.7112  1 H 2.27
Ca  0.6202  0.0225  0.2112  1 H 2.27
Ca  0.8798  0.5910  0.9023  1 H 2.27
Ca  0.5225  0.3113  0.9023  1 H 2.27
Ca  0.5910  0.8798  0.4023  1 H 2.27
Ca  0.9090  0.8113  0.7888  1 H 2.27
Ca  0.9090  0.0977  0.6202  1 H 2.27
Ca  0.8798  0.2888  0.4775  1 H 2.27
Ca  0.1887  0.0977  0.9775  1 H 2.27
Ca  0.6202  0.5977  0.9090  1 H 2.27
Ca  0.4023  0.0225  0.3113  1 H 2.27
Ca  0.2888  0.4090  0.8113  1 H 2.27
Ca  0.2112  0.5225  0.6202  1 H 2.27
Ca  0.9023  0.0910  0.8798  1 H 2.27
Ca  0.6887  0.2112  0.5910  1 H 2.27
Ca  0.4775  0.7888  0.8798  1 H 2.27
Ca  0.0225  0.4023  0.8113  1 H 2.27
Ca  0.4090  0.2888  0.3113  1 H 2.27
Ca  0.0225  0.6202  0.7112  1 H 2.27
Ca  0.6887  0.4775  0.5977  1 H 2.27
Ca  0.2888  0.8798  0.9775  1 H 2.27

Symmetry: Ia-3d
Calculated volume, Å³/cell: 1986.5
Mass density, g/cm³: 3.60
Crystal system: cubic
Uncorrected energy, eV/atom: -2.9822

=====

No. 2
Here is CaHAu after structural relaxation from Alexandria. Energies are from PBE.

Cell lengths 3.4489, 5.1493, 5.5827 Å; angles 89.94, 90.00, 90.00 degrees
Closest atoms and distances in Å follow each position.
Element x y z (fractional)
Ca  0.3117  0.6463  0.1081  4 H 2.48-2.50
Ca  0.3117  0.1467  0.6848  4 H 2.48-2.50
H  0.8116  0.3471  0.9498  1 Au 1.88
H  0.8116  0.8472  0.8433  1 Au 1.88
Au  0.8116  0.1545  0.2365  1 H 1.88
Au  0.8116  0.6554  0.5561  1 H 1.88

Excess energy over the best structure of this formula in the dataset, eV/atom: 0.0913
Symmetry: Pm
Calculated volume, Å³/cell: 99.1
Mass density, g/cm³: 7.97
Crystal system: monoclinic

=====

No. 3
Here is CaHAu after structural relaxation from Alexandria. Energies are from PBE.

Cell lengths 3.7543, 3.7543, 7.4611 Å; angles 90.00, 90.00, 90.00 degrees
Closest atoms and distances in Å follow each position.
Element x y z (fractional)
Ca  0.0000  0.5000  0.8280  4 H 2.27
Ca  0.5000  0.0000  0.1720  4 H 2.27
H  0.0000  0.0000  0.0000  4 Ca 2.27
H  0.5000  0.5000  0.0000  4 Ca 2.27
Au  0.0000  0.5000  0.4059  4 Au 3.00, 5 Ca 3.15-3.18
Au  0.5000  0.0000  0.5941  4 Au 3.00, 5 Ca 3.15-3.18

Excess energy over the best structure of this formula in the dataset, eV/atom: 0.0000
Symmetry: P4/nmm
Calculated volume, Å³/cell: 105.2
Mass density, g/cm³: 7.52
Crystal system: tetragonal

=====

No. 4
Here is CaH2Au after structural relaxation from Alexandria. Energies are from PBE.

Cell lengths 4.0988, 4.0988, 4.8418 Å; angles 64.96, 64.96, 60.00 degrees
Closest atoms and distances in Å follow each position.
Element x y z (fractional)
H  0.1322  0.1322  0.6034  1 Au 1.68
H  0.8678  0.8678  0.3966  1 Au 1.68
Ca  0.5000  0.5000  0.5000  6 H 2.41
Au  0.0000  0.0000  0.0000  2 H 1.68

Excess energy over the best structure of this formula in the dataset, eV/atom: 0.0000
Symmetry: R-3m
Calculated volume, Å³/cell: 61.5
Mass density, g/cm³: 6.46
Crystal system: trigonal

=====

No. 5
Here is CaHAu after structural relaxation from Alexandria. Energies are from PBE.

Cell lengths 5.1149, 3.7798, 6.5779 Å; angles 90.00, 115.27, 90.00 degrees
Closest atoms and distances in Å follow each position.
Element x y z (fractional)
Ca  0.2211  0.0000  0.5872  3 H 2.26
Ca  0.2211  0.5000  0.0872  3 H 2.26
H  0.3411  0.0000  0.9597  1 Au 1.90
H  0.3411  0.5000  0.4597  1 Au 1.90
Au  0.7526  0.0000  0.0986  1 H 1.90
Au  0.7526  0.5000  0.5986  1 H 1.90

Excess energy over the best structure of this formula in the dataset, eV/atom: 0.1670
Symmetry: Cm
Calculated volume, Å³/cell: 115.0
Mass density, g/cm³: 6.87
Crystal system: monoclinic

=====

No. 6
Here is CaHAu after structural relaxation from Alexandria. Energies are from PBE.

Cell lengths 3.6045, 3.6045, 3.8330 Å; angles 90.00, 90.00, 90.00 degrees
Closest atoms and distances in Å follow each position.
Element x y z (fractional)
Ca  0.0000  0.0000  0.5000  4 H 2.55
H  0.5000  0.5000  0.5000  2 Au 1.92
Au  0.5000  0.5000  0.0000  2 H 1.92

Excess energy over the best structure of this formula in the dataset, eV/atom: 0.0895
Symmetry: P4/mmm
Calculated volume, Å³/cell: 49.8
Mass density, g/cm³: 7.94
Crystal system: tetragonal

=====

No. 7
Here is CaH2Au after structural relaxation from Alexandria. Energies are from PBE.

Cell lengths 4.4873, 4.4873, 6.5098 Å; angles 69.84, 69.84, 90.00 degrees
Closest atoms and distances in Å follow each position.
Element x y z (fractional)
H  0.7395  0.1250  0.2500  2 Au 1.91
H  0.0105  0.6250  0.2500  2 Au 1.91
H  0.3750  0.2605  0.7500  2 Au 1.91
H  0.8750  0.9895  0.7500  2 Au 1.91
Ca  0.5000  0.5000  0.0000  4 H 2.44
Ca  0.2500  0.7500  0.5000  4 H 2.44
Au  0.0000  0.0000  0.0000  4 H 1.91
Au  0.7500  0.2500  0.5000  4 H 1.91

Excess energy over the best structure of this formula in the dataset, eV/atom: 0.1868
Symmetry: I-42d
Calculated volume, Å³/cell: 114.5
Mass density, g/cm³: 6.94
Crystal system: tetragonal

=====

No. 8
Here is Ca6H2Au3 after structural relaxation from Alexandria. Energies are from PBE.

Cell lengths 4.7385, 4.7385, 12.2748 Å; angles 101.13, 101.13, 90.00 degrees
Closest atoms and distances in Å follow each position.
Element x y z (fractional)
Ca  0.0826  0.5826  0.1652  2 H 2.41
Ca  0.5826  0.0826  0.1652  2 H 2.41
Ca  0.9174  0.4174  0.8348  2 H 2.41
Ca  0.4174  0.9174  0.8348  2 H 2.41
Ca  0.7039  0.7039  0.4079  1 H 2.41
Ca  0.2961  0.2961  0.5921  1 H 2.41
H  0.3982  0.3982  0.7964  5 Ca 2.41
H  0.6018  0.6018  0.2036  5 Ca 2.41
Au  0.0000  0.0000  0.0000  8 Ca 3.07
Au  0.8312  0.8312  0.6625  5 Ca 3.01-3.12
Au  0.1688  0.1688  0.3375  5 Ca 3.01-3.12

Symmetry: I4/mmm
Calculated volume, Å³/cell: 265.1
Mass density, g/cm³: 5.22
Crystal system: tetragonal
Uncorrected energy, eV/atom: -3.1828

=====

No. 9
Here is Ca2HIrAu after structural relaxation from Alexandria. Energies are from PBE.

Cell lengths 4.9959, 4.9959, 3.6387 Å; angles 90.00, 90.00, 90.00 degrees
Closest atoms and distances in Å follow each position.
Element x y z (fractional)
H  0.0000  0.0000  0.0000  2 Ir 1.82
Ca  0.0000  0.5000  0.0000  2 H 2.50
Ca  0.5000  0.0000  0.0000  2 H 2.50
Ir  0.0000  0.0000  0.5000  2 H 1.82
Au  0.5000  0.5000  0.5000  8 Ca 3.09

Symmetry: P4/mmm
Calculated volume, Å³/cell: 90.8
Mass density, g/cm³: 8.60
Crystal system: tetragonal
Uncorrected energy, eV/atom: -4.4328

=====

No. 10
Here is KCaH6Au2 after structural relaxation from Alexandria. Energies are from PBE.

Cell lengths 6.5863, 6.5863, 6.5752 Å; angles 94.66, 94.66, 89.17 degrees
Closest atoms and distances in Å follow each position.
Element x y z (fractional)
K  0.1246  0.8754  0.2500  8 H 2.70-2.98
K  0.8754  0.1246  0.7500  8 H 2.70-2.98
Ca  0.6061  0.3939  0.2500  8 H 2.28-2.54
Ca  0.3939  0.6061  0.7500  8 H 2.28-2.54
H  0.9369  0.2374  0.3289  1 Au 1.66, 1 H 1.83
H  0.7626  0.0631  0.1711  1 Au 1.66, 1 H 1.83
H  0.0631  0.7626  0.6711  1 Au 1.66, 1 H 1.83
H  0.2374  0.9369  0.8289  1 Au 1.66, 1 H 1.83
H  0.2481  0.2761  0.1278  1 Au 1.86
H  0.7239  0.7519  0.3722  1 Au 1.86
H  0.7519  0.7239  0.8722  1 Au 1.86
H  0.2761  0.2481  0.6278  1 Au 1.86
H  0.3317  0.5584  0.4041  1 Au 1.71
H  0.4416  0.6683  0.0959  1 Au 1.71
H  0.6683  0.4416  0.5959  1 Au 1.71
H  0.5584  0.3317  0.9041  1 Au 1.71
Au  0.3802  0.1438  0.8692  3 H 1.66-1.86
Au  0.8562  0.6198  0.6308  3 H 1.66-1.86
Au  0.6198  0.8562  0.1308  3 H 1.66-1.86
Au  0.1438  0.3802  0.3692  3 H 1.66-1.86

Symmetry: C2/c
Calculated volume, Å³/cell: 283.3
Mass density, g/cm³: 5.62
Crystal system: monoclinic
Uncorrected energy, eV/atom: -3.1665

=====

No. 11
Here is K2CaH6Au2 after structural relaxation from Alexandria. Energies are from PBE.

Cell lengths 5.7041, 5.8822, 6.9502 Å; angles 112.85, 90.00, 119.00 degrees
Closest atoms and distances in Å follow each position.
Element x y z (fractional)
K  0.7043  0.4087  0.1657  8 H 2.80-3.07
K  0.2957  0.5913  0.8343  8 H 2.80-3.07
Ca  0.5000  0.0000  0.5000  6 H 2.28-2.35
H  0.7547  0.5095  0.6542  1 Au 1.73
H  0.2189  0.9195  0.2174  1 Au 1.75
H  0.2994  0.0805  0.7826  1 Au 1.75
H  0.7811  0.0805  0.7826  1 Au 1.75
H  0.7006  0.9195  0.2174  1 Au 1.75
H  0.2453  0.4905  0.3458  1 Au 1.73
Au  0.9399  0.8798  0.7317  3 H 1.73-1.75
Au  0.0601  0.1202  0.2683  3 H 1.73-1.75

Symmetry: C2/m
Calculated volume, Å³/cell: 182.8
Mass density, g/cm³: 4.71
Crystal system: monoclinic
Uncorrected energy, eV/atom: -3.0567

=====

No. 12
Here is Ca2LaHAu after structural relaxation from Alexandria. Energies are from PBE.

Cell lengths 4.8392, 4.8392, 5.1218 Å; angles 90.00, 90.00, 90.00 degrees
Closest atoms and distances in Å follow each position.
Element x y z (fractional)
H  0.0000  0.0000  0.0000  4 Ca 2.42, 2 La 2.56
Ca  0.0000  0.5000  0.0000  2 H 2.42
Ca  0.5000  0.0000  0.0000  2 H 2.42
Au  0.5000  0.5000  0.5000  4 La 3.42, 8 Ca 3.52
La  0.0000  0.0000  0.5000  2 H 2.56

Symmetry: P4/mmm
Calculated volume, Å³/cell: 119.9
Mass density, g/cm³: 5.77
Crystal system: tetragonal
Uncorrected energy, eV/atom: -3.4474

=====

calculated volume of number 12 (Ca2LaHAu)?
119.9 Å³/cell

=====

What is the mass density in the seventh record?
6.94 g/cm³